Entry from Alexandria via LeMat-Bulk: SiPt2 after structural relaxation (PBE-GGA).

```
SiPt2
1.0
3.902 0.000 0.000
-1.951 3.379 0.000
0.000 0.000 3.553
Si Pt
1 2
direct
0.000 0.000 0.000 Si
0.333 0.667 0.744 Pt
0.667 0.333 0.256 Pt
```

Results
Its space group is P-3m1. The formation energy without anion corrections comes out at -0.57 eV/atom. The calculation puts the size of the total moment at 0.0000 μB per atom.